Record 1
A plane-wave DFT calculation with PBE was carried out for an optimized crystal structure of TlAgI2N.

The structure in POSCAR format:
```
TlAgI2N
1.0
6.222 0.000 0.000
0.000 6.222 0.000
0.000 0.000 4.253
I Tl Ag N
2 1 1 1
Cartesian
0.000 3.111 0.000
3.111 0.000 0.000
0.000 0.000 0.000
3.111 3.111 2.127
0.000 0.000 2.127
```

Output
**Uncorrected formation energy**: 869 meV/atom
**Energy above the lowest structure with this stoichiometry**: 0.351 eV/atom
**SG**: P4/mmm, No. 123

Record 2
A plane-wave DFT calculation with PBE was carried out for an optimized crystal structure of TlAgI2N.

The structure in POSCAR format:
```
TlAgI2N
1.0
6.043 0.000 0.000
0.000 6.043 0.000
0.000 0.000 4.217
I Tl Ag N
2 1 1 1
Cartesian
0.000 3.021 0.000
3.021 0.000 0.000
3.021 3.021 2.109
0.000 0.000 0.000
0.000 0.000 2.109
```

Output
**Uncorrected formation energy**: 518 meV/atom
**Energy above the lowest structure with this stoichiometry**: 0.000 eV/atom
**SG**: P4/mmm, No. 123

Record 3
A plane-wave DFT calculation with PBE was carried out for an optimized crystal structure of TlAg2IN.

The structure in POSCAR format:
```
TlAg2IN
1.0
5.501 0.000 0.000
0.000 7.126 0.000
0.000 0.000 5.501
I Tl Ag N
1 1 2 1
Cartesian
0.000 0.000 0.000
0.000 3.563 0.000
0.000 0.000 2.750
2.750 0.000 0.000
2.750 3.563 2.750
```

Output
**Uncorrected formation energy**: 1409 meV/atom
**SG**: P4/mmm, No. 123

Record 4
A plane-wave DFT calculation with PBE was carried out for an optimized crystal structure of VAgI2N.

The structure in POSCAR format:
```
VAgI2N
1.0
-2.918 4.526 2.271
-4.336 -0.880 -3.818
-1.736 -2.384 2.521
I N Ag V
2 1 1 1
Cartesian
-2.168 -0.440 -1.909
-1.459 2.263 1.135
-0.868 -1.192 1.260
0.000 0.000 0.000
-4.495 0.631 0.486
```

Output
**Uncorrected formation energy**: 1512 meV/atom
**Energy above the lowest structure with this stoichiometry**: 1.427 eV/atom
**SG**: P4/mmm, No. 123

Record 5
A plane-wave DFT calculation with PBE was carried out for an optimized crystal structure of VAgI2N.

The structure in POSCAR format:
```
VAgI2N
1.0
-3.060 -3.098 -3.595
1.624 -4.703 2.671
-2.915 0.270 2.248
I N Ag V
2 1 1 1
Cartesian
0.812 -2.351 1.335
-1.530 -1.549 -1.798
-1.458 0.135 1.124
-2.175 -3.766 0.662
0.000 0.000 0.000
```

Output
**Uncorrected formation energy**: 86 meV/atom
**Energy above the lowest structure with this stoichiometry**: 0.000 eV/atom
**SG**: P4/mmm, No. 123

Record 6
A plane-wave DFT calculation with PBE was carried out for an optimized crystal structure of YAgIN2.

The structure in POSCAR format:
```
YAgIN2
1.0
-3.258 2.279 1.990
-2.929 -3.109 -1.235
1.110 -3.243 5.531
I Y Ag N
1 1 1 2
Cartesian
0.555 -1.622 2.766
0.000 0.000 0.000
-2.538 -2.037 3.143
-1.464 -1.554 -0.618
-1.629 1.139 0.995
```

Output
**Uncorrected formation energy**: 665 meV/atom
**Energy above the lowest structure with this stoichiometry**: 0.000 eV/atom
**SG**: P4/mmm, No. 123